Here is Cu2NiMo after structural relaxation from the Alexandria database. Energies are from PBE.

Unit cell a=2.555 b=3.740 c=5.315 alpha=90.00 beta=90.00 gamma=90.00
Fractional coordinates of all 4 atoms:
Cu 0.000 0.000 0.983
Cu 0.000 0.000 0.517
Mo 0.500 0.500 0.250
Ni 0.500 0.500 0.750

## Properties
Size of the total moment ... 0.00 μB/f.u.
Energy above the most stable polymorph in this dataset ... 0.128 eV/atom
Mass density ... 9.2 g/cm3
DOS at the Fermi energy ... 3.6 states/eV/f.u.
Symmetry ... Pmmm (47)



Here is CuNiMo after structural relaxation from the Alexandria database. Energies are from PBE.

Unit cell a=3.668 b=3.668 c=6.241 alpha=90.00 beta=90.00 gamma=90.00
Fractional coordinates of all 6 atoms:
Cu 0.000 0.500 0.825
Cu 0.500 0.000 0.175
Ni 0.000 0.500 0.204
Ni 0.500 0.000 0.796
Mo 0.500 0.500 0.500
Mo 0.000 0.000 0.500

## Properties
Size of the total moment ... 0.00 μB/f.u.
Energy above the most stable polymorph in this dataset ... 0.250 eV/atom
Mass density ... 8.6 g/cm3
DOS at the Fermi energy ... 2.7 states/eV/f.u.
Symmetry ... P4/nmm (129)



Here is CuNiMo after structural relaxation from the Alexandria database. Energies are from PBE.

Unit cell a=2.580 b=4.224 c=7.130 alpha=90.00 beta=95.13 gamma=90.00
Fractional coordinates of all 6 atoms:
Cu 0.732 0.000 0.696
Cu 0.157 0.000 0.396
Ni 0.092 0.500 0.205
Ni 0.671 0.500 0.509
Mo 0.592 0.000 0.060
Mo 0.242 0.500 0.848

## Properties
Size of the total moment ... 0.00 μB/f.u.
Energy above the most stable polymorph in this dataset ... 0.038 eV/atom
Mass density ... 9.4 g/cm3
DOS at the Fermi energy ... 2.6 states/eV/f.u.
Symmetry ... Pm (6)